Entry 1:
Below is crystalline BaMnCo2 at its relaxed geometry, with properties calculated at the PBE level.

POSCAR file:
```
BaMnCo2
1.0
-2.286 0.336 -4.570
4.656 -0.387 -2.096
-2.422 -3.440 2.919
Co Ba Mn
2 1 1
direct
0.904 0.904 0.000
0.596 0.596 0.000
0.250 0.750 0.500
0.750 0.250 0.500
```

Volume (A^3/atom): 23.419
Total moment (μB per cell): 7.0
Formation enthalpy at 0 K (kJ/mol of atoms): 75.5

=====

Entry 2:
Below is crystalline PuCu3P2 at its relaxed geometry, with properties calculated at the PBE level.

POSCAR file:
```
PuCu3P2
1.0
3.712 0.000 1.022
0.878 6.734 4.065
-0.054 0.429 7.450
Pu Cu P
2 6 4
direct
0.859 0.055 0.228
0.141 0.945 0.772
0.688 0.558 0.066
0.946 0.397 0.711
0.312 0.442 0.934
0.597 0.326 0.479
0.403 0.674 0.521
0.054 0.603 0.289
0.797 0.719 0.687
0.482 0.182 0.854
0.518 0.818 0.146
0.203 0.281 0.313
```

Volume (A^3/atom): 15.042
Total moment (μB per cell): 10.6
Formation enthalpy at 0 K (kJ/mol of atoms): -44.8

=====

Entry 3:
Below is crystalline Th2FeCl2 at its relaxed geometry, with properties calculated at the PBE level.

POSCAR file:
```
Th2FeCl2
1.0
3.857 0.000 0.720
1.893 3.483 0.546
-0.073 -0.374 11.078
Cl Th Fe
2 2 1
direct
0.455 0.906 0.185
0.545 0.094 0.815
0.712 0.216 0.361
0.288 0.784 0.639
0.000 0.500 0.500
```

Volume (A^3/atom): 29.857
Total moment (μB per cell): 0.0
Formation energy from raw total energies (eV/atom): -1.1324

=====

Entry 4:
Below is crystalline Sm2Dy12Ho5 at its relaxed geometry, with properties calculated at the PBE level.

POSCAR file:
```
Sm2Dy12Ho5
1.0
-8.986 1.460 1.306
2.051 -9.319 -7.851
1.359 0.893 8.352
Dy Ho Sm
12 5 2
direct
0.092 0.183 0.301
0.558 0.117 0.784
0.181 0.747 0.404
0.664 0.689 0.932
0.435 0.253 0.596
0.819 0.253 0.596
0.442 0.883 0.216
0.336 0.311 0.068
0.026 0.689 0.932
0.565 0.747 0.404
0.908 0.817 0.699
0.974 0.311 0.068
0.000 0.000 0.500
0.768 0.537 0.111
0.698 0.396 0.385
0.302 0.604 0.615
0.232 0.463 0.889
0.681 0.000 0.000
0.319 0.000 0.000
```

Volume (A^3/atom): 32.354
Total moment (μB per cell): 0.0
Formation enthalpy at 0 K (kJ/mol of atoms): 12.7

=====

Entry 5:
Below is crystalline AcPr6Tm at its relaxed geometry, with properties calculated at the PBE level.

POSCAR file:
```
AcPr6Tm
1.0
5.263 0.000 0.000
0.000 5.263 0.000
0.000 0.000 10.522
Pr Tm Ac
6 1 1
direct
0.000 0.500 0.259
0.500 0.000 0.259
0.000 0.500 0.741
0.500 0.000 0.741
0.500 0.500 0.000
0.500 0.500 0.500
0.000 0.000 0.500
0.000 0.000 0.000
```

Volume (A^3/atom): 36.434
Total moment (μB per cell): 0.0
Formation enthalpy at 0 K (kJ/mol of atoms): 2.4

=====

Entry 6:
Below is crystalline Er2Ga3CoNi12 at its relaxed geometry, with properties calculated at the PBE level.

POSCAR file:
```
Er2Ga3CoNi12
1.0
-7.948 3.418 -2.741
-8.940 -1.226 0.968
-7.403 4.149 3.216
Ni Er Ga Co
12 2 3 1
direct
0.922 0.922 0.357
0.078 0.643 0.078
0.643 0.078 0.078
0.357 0.922 0.922
0.188 0.581 0.581
0.078 0.078 0.643
0.419 0.419 0.812
0.581 0.581 0.188
0.419 0.812 0.419
0.581 0.188 0.581
0.812 0.419 0.419
0.922 0.357 0.922
0.349 0.349 0.349
0.651 0.651 0.651
0.000 0.500 0.000
0.500 0.000 0.000
0.000 0.000 0.500
0.000 0.000 0.000
```

Volume (A^3/atom): 14.645
Total moment (μB per cell): 3.3
Formation enthalpy at 0 K (kJ/mol of atoms): 2.4

=====

Entry 7:
Below is crystalline LiPa2IrN4 at its relaxed geometry, with properties calculated at the PBE level.

POSCAR file:
```
LiPa2IrN4
1.0
4.887 0.266 0.000
-0.266 4.887 0.000
-2.311 -2.577 4.350
Li N Pa Ir
1 4 2 1
direct
0.436 0.436 0.000
0.437 0.938 0.000
0.689 0.689 0.505
0.938 0.437 0.000
0.185 0.185 0.495
0.187 0.687 0.500
0.687 0.187 0.500
0.937 0.937 0.000
```

Volume (A^3/atom): 13.027
Total moment (μB per cell): 0.0
Formation energy from raw total energies (eV/atom): -0.9725

=====

Entry 8:
Below is crystalline TmHfCuS4 at its relaxed geometry, with properties calculated at the PBE level.

POSCAR file:
```
TmHfCuS4
1.0
7.425 0.000 0.000
3.713 6.529 0.081
3.713 2.066 6.194
Tm Cu S Hf
2 2 8 2
direct
0.000 0.500 0.500
0.000 0.000 0.000
0.622 0.628 0.128
0.378 0.372 0.872
0.746 0.766 0.741
0.241 0.761 0.261
0.254 0.759 0.734
0.254 0.234 0.259
0.746 0.241 0.266
0.736 0.761 0.261
0.759 0.239 0.739
0.264 0.239 0.739
0.500 0.000 0.500
0.000 0.000 0.500
```

Volume (A^3/atom): 21.360
Total moment (μB per cell): 0.0
Formation energy from raw total energies (eV/atom): -1.4646

=====

Entry 9:
Below is crystalline KAgRu2 at its relaxed geometry, with properties calculated at the PBE level.

POSCAR file:
```
KAgRu2
1.0
-0.331 0.919 -5.716
-0.033 -5.324 2.299
-2.570 0.086 0.162
Ru Ag K
2 1 1
direct
0.500 0.500 0.000
0.000 0.000 0.000
0.500 0.000 0.500
0.000 0.500 0.500
```

Volume (A^3/atom): 18.287
Total moment (μB per cell): 0.2
Formation enthalpy at 0 K (kJ/mol of atoms): 106.7

=====

Entry 10:
Below is crystalline KRbOF2 at its relaxed geometry, with properties calculated at the PBE level.

POSCAR file:
```
KRbOF2
1.0
-1.057 -2.592 -4.269
4.417 1.550 -2.035
2.079 -3.673 1.715
F K O Rb
2 1 1 1
direct
0.500 0.000 0.000
0.000 0.500 0.000
0.500 0.500 0.500
0.000 0.000 0.500
0.000 0.000 0.000
```

Volume (A^3/atom): 23.743
Total moment (μB per cell): 0.6
Formation energy from raw total energies (eV/atom): -1.1895

=====

Entry 11:
Below is crystalline B5C at its relaxed geometry, with properties calculated at the PBE level.

POSCAR file:
```
B5C
1.0
4.203 -0.473 -1.065
2.206 3.540 -1.310
0.386 -0.217 5.440
B C
10 2
direct
0.819 0.678 0.881
0.338 0.765 0.733
0.326 0.701 0.371
0.526 0.276 0.680
0.924 0.049 0.879
0.517 0.111 0.929
0.431 0.072 0.369
0.733 0.639 0.321
0.912 0.985 0.517
0.724 0.474 0.570
0.944 0.412 0.065
0.306 0.338 0.185
```

Volume (A^3/atom): 7.302
Total moment (μB per cell): 0.0
Formation enthalpy at 0 K (kJ/mol of atoms): 37.1

=====

Entry 12:
Below is crystalline Dy3TmSc2Te6 at its relaxed geometry, with properties calculated at the PBE level.

POSCAR file:
```
Dy3TmSc2Te6
1.0
-2.370 -3.336 1.223
3.590 -4.810 -6.165
6.812 0.362 6.731
Te Dy Sc Tm
6 3 2 1
direct
0.670 0.575 0.340
0.333 0.908 0.666
0.667 0.092 0.334
0.005 0.249 0.010
0.995 0.751 0.990
0.330 0.425 0.660
0.836 0.171 0.673
0.500 0.500 0.000
0.164 0.829 0.327
0.832 0.665 0.665
0.168 0.335 0.335
0.500 0.000 0.000
```

Volume (A^3/atom): 27.818
Total moment (μB per cell): 0.0
Formation energy from raw total energies (eV/atom): -1.1989

=====

Entry 13:
Below is crystalline LaScGaIr at its relaxed geometry, with properties calculated at the PBE level.

POSCAR file:
```
LaScGaIr
1.0
-1.670 -4.034 2.359
-2.801 -3.307 -2.418
1.845 -4.470 -1.117
La Sc Ir Ga
1 1 1 1
direct
0.750 0.750 0.750
0.250 0.250 0.250
0.500 0.500 0.500
0.000 0.000 0.000
```

Volume (A^3/atom): 21.606
Total moment (μB per cell): 0.0
Formation enthalpy at 0 K (kJ/mol of atoms): -52.3

=====

Entry 14:
Below is crystalline AlBSe2 at its relaxed geometry, with properties calculated at the PBE level.

POSCAR file:
```
AlBSe2
1.0
-3.642 0.802 6.026
-1.624 -3.278 6.070
0.785 0.463 7.028
Al Se B
1 2 1
direct
0.500 0.500 0.500
0.092 0.092 0.092
0.908 0.908 0.908
0.000 0.000 0.000
```

Volume (A^3/atom): 29.527
Total moment (μB per cell): 0.0
Formation energy from raw total energies (eV/atom): 0.2311

=====

Entry 15:
Below is crystalline NaLi3Pb at its relaxed geometry, with properties calculated at the PBE level.

POSCAR file:
```
NaLi3Pb
1.0
-3.858 -2.133 -2.396
1.442 -4.518 1.692
-6.739 -0.061 5.588
Li Na Pb
6 2 2
direct
0.954 0.344 0.811
0.456 0.845 0.803
0.151 0.344 0.419
0.664 0.844 0.390
0.261 0.844 0.196
0.747 0.344 0.224
0.051 0.844 0.616
0.359 0.345 0.999
0.845 0.844 0.027
0.566 0.344 0.588
```

Volume (A^3/atom): 21.166
Total moment (μB per cell): 0.0
Formation enthalpy at 0 K (kJ/mol of atoms): -20.9

=====

Entry 16:
Below is crystalline Ce2YRh at its relaxed geometry, with properties calculated at the PBE level.

POSCAR file:
```
Ce2YRh
1.0
3.691 0.000 0.000
0.000 3.691 0.000
0.000 0.000 7.609
Ce Y Rh
2 1 1
direct
0.000 0.000 0.191
0.000 0.000 0.809
0.500 0.500 0.500
0.500 0.500 0.000
```

Volume (A^3/atom): 25.915
Total moment (μB per cell): 0.1
Formation enthalpy at 0 K (kJ/mol of atoms): -25.6

=====

Entry 17:
Below is crystalline Al7Tl3S12 at its relaxed geometry, with properties calculated at the PBE level.

POSCAR file:
```
Al7Tl3S12
1.0
-1.536 6.171 10.893
-3.274 -7.685 3.892
8.602 -3.305 3.086
Tl S Al
6 24 14
direct
0.519 0.377 0.832
0.254 0.031 0.480
0.029 0.130 0.227
0.019 0.623 0.168
0.754 0.969 0.520
0.529 0.870 0.773
0.719 0.052 0.173
0.746 0.139 0.794
0.028 0.223 0.727
0.207 0.246 0.044
0.113 0.568 0.844
0.707 0.754 0.956
0.347 0.476 0.313
0.396 0.643 0.959
0.093 0.529 0.468
0.807 0.675 0.326
0.613 0.432 0.156
0.593 0.471 0.532
0.246 0.861 0.206
0.494 0.128 0.387
0.847 0.524 0.687
0.832 0.275 0.404
0.307 0.325 0.674
0.332 0.725 0.596
0.896 0.357 0.041
0.994 0.872 0.613
0.960 0.931 0.009
0.460 0.069 0.991
0.219 0.948 0.827
0.528 0.777 0.273
0.038 0.978 0.802
0.672 0.671 0.176
0.267 0.520 0.521
0.285 0.029 0.028
0.265 0.709 0.809
0.765 0.291 0.191
0.873 0.303 0.821
0.515 0.372 0.358
0.172 0.329 0.824
0.785 0.971 0.972
0.373 0.697 0.179
0.538 0.022 0.198
0.015 0.628 0.642
0.767 0.480 0.479
```

Volume (A^3/atom): 25.534
Total moment (μB per cell): 0.0
Formation energy from raw total energies (eV/atom): -0.9941

=====

Entry 18:
Below is crystalline LuMgTlCu at its relaxed geometry, with properties calculated at the PBE level.

POSCAR file:
```
LuMgTlCu
1.0
4.916 0.000 0.000
2.458 4.257 0.000
2.458 1.419 4.014
Tl Mg Cu Lu
1 1 1 1
direct
0.250 0.250 0.250
0.500 0.500 0.500
0.750 0.750 0.750
0.000 0.000 0.000
```

Volume (A^3/atom): 21.003
Total moment (μB per cell): 0.0
Formation enthalpy at 0 K (kJ/mol of atoms): -16.3

=====

Entry 19:
Below is crystalline LiHg2Os at its relaxed geometry, with properties calculated at the PBE level.

POSCAR file:
```
LiHg2Os
1.0
-2.390 -1.459 -3.103
3.127 -2.478 -1.244
-2.742 -8.683 3.380
Hg Li Os
4 2 2
direct
0.122 0.625 0.250
0.875 0.878 0.750
0.628 0.125 0.250
0.375 0.372 0.750
0.250 0.750 0.500
0.500 0.500 0.000
0.750 0.250 0.500
0.000 0.000 0.000
```

Volume (A^3/atom): 20.204
Total moment (μB per cell): 1.6
Formation enthalpy at 0 K (kJ/mol of atoms): 79.9

=====

Entry 20:
Below is crystalline ErAl2V at its relaxed geometry, with properties calculated at the PBE level.

POSCAR file:
```
ErAl2V
1.0
-0.891 -2.850 0.055
1.880 -2.169 -0.827
3.413 -2.463 8.823
Er V Al
1 1 2
direct
0.500 0.500 0.500
0.000 0.000 0.000
0.739 0.739 0.782
0.261 0.261 0.218
```

Volume (A^3/atom): 18.587
Total moment (μB per cell): 0.0
Formation enthalpy at 0 K (kJ/mol of atoms): 8.8